# CdTe2Ir (PBE, optimized geometry)
# Electronic total energy   -3.851 eV/atom
# ΔE_f (raw)   0.1639 eV/atom
# Fermi-level density of states   4.233 states/eV/cell
data_CdTe2Ir
_chemical_formula_sum 'Cd2 Te4 Ir2'
_symmetry_space_group_name_H-M 'I m m 2'
_symmetry_Int_Tables_number 44
_cell_length_a 3.149
_cell_length_b 4.851
_cell_length_c 12.703
_cell_angle_alpha 90.00
_cell_angle_beta 90.00
_cell_angle_gamma 90.00
loop_
_symmetry_equiv_pos_as_xyz
'x,y,z'
'-x,-y,z'
'-x,y,z'
'x,-y,z'
'x+1/2,y+1/2,z+1/2'
'-x+1/2,-y+1/2,z+1/2'
'-x+1/2,y+1/2,z+1/2'
'x+1/2,-y+1/2,z+1/2'
loop_
_atom_site_label
_atom_site_type_symbol
_atom_site_fract_x
_atom_site_fract_y
_atom_site_fract_z
_atom_site_occupancy
Cd1 Cd 0.000 0.000 0.000 1
Te1 Te 0.000 0.000 0.369 1
Te2 Te 0.000 0.500 0.164 1
Ir1 Ir 0.000 0.500 0.697 1